Entry 1:
# BaNi4Cl, relaxed, DFT GGA-PBE
data_BaNi4Cl
_chemical_formula_sum 'Ba1 Ni4 Cl1'
_cell_length_a 5.261
_cell_length_b 5.261
_cell_length_c 5.261
_cell_angle_alpha 60.00
_cell_angle_beta 60.00
_cell_angle_gamma 60.00
_symmetry_space_group_name_H-M 'P 1'
_symmetry_Int_Tables_number 1
loop_
_symmetry_equiv_pos_as_xyz
'x,y,z'
loop_
_atom_site_label
_atom_site_type_symbol
_atom_site_fract_x
_atom_site_fract_y
_atom_site_fract_z
_atom_site_occupancy
Ni1 Ni 0.374 0.374 0.877 1
Ni2 Ni 0.877 0.374 0.374 1
Ni3 Ni 0.374 0.374 0.374 1
Ni4 Ni 0.374 0.877 0.374 1
Cl1 Cl 0.000 0.000 0.000 1
Ba1 Ba 0.750 0.750 0.750 1
# E_form (uncorrected), eV/atom: 0.232


Entry 2:
# Ba2NiCl, relaxed, DFT GGA-PBE
data_Ba2NiCl
_chemical_formula_sum 'Ba2 Ni1 Cl1'
_cell_length_a 4.576
_cell_length_b 4.576
_cell_length_c 6.404
_cell_angle_alpha 90.00
_cell_angle_beta 90.00
_cell_angle_gamma 90.00
_symmetry_space_group_name_H-M 'P 1'
_symmetry_Int_Tables_number 1
loop_
_symmetry_equiv_pos_as_xyz
'x,y,z'
loop_
_atom_site_label
_atom_site_type_symbol
_atom_site_fract_x
_atom_site_fract_y
_atom_site_fract_z
_atom_site_occupancy
Ba1 Ba 0.500 0.500 0.375 1
Ba2 Ba 0.000 0.000 0.875 1
Ni1 Ni 0.500 0.500 0.874 1
Cl1 Cl 0.000 0.000 0.375 1
# Energy above the lowest structure with this stoichiometry, meV/atom: 45
# E_form (uncorrected), eV/atom: -0.816


Entry 3:
# BaNiCl3, relaxed, DFT GGA-PBE
data_BaNiCl3
_chemical_formula_sum 'Ba2 Ni2 Cl6'
_cell_length_a 6.968
_cell_length_b 6.968
_cell_length_c 5.468
_cell_angle_alpha 90.00
_cell_angle_beta 90.00
_cell_angle_gamma 120.00
_symmetry_space_group_name_H-M 'P 1'
_symmetry_Int_Tables_number 1
loop_
_symmetry_equiv_pos_as_xyz
'x,y,z'
loop_
_atom_site_label
_atom_site_type_symbol
_atom_site_fract_x
_atom_site_fract_y
_atom_site_fract_z
_atom_site_occupancy
Cl1 Cl 0.655 0.827 0.741 1
Cl2 Cl 0.827 0.655 0.241 1
Cl3 Cl 0.173 0.827 0.741 1
Cl4 Cl 0.345 0.173 0.241 1
Cl5 Cl 0.173 0.345 0.741 1
Cl6 Cl 0.827 0.173 0.241 1
Ni1 Ni 0.000 0.000 0.989 1
Ni2 Ni 0.000 0.000 0.489 1
Ba1 Ba 0.333 0.667 0.241 1
Ba2 Ba 0.667 0.333 0.741 1
# Energy above the lowest structure with this stoichiometry, meV/atom: 0
# E_form (uncorrected), eV/atom: -1.426


Entry 4:
# BaNiCl4, relaxed, DFT GGA-PBE
data_BaNiCl4
_chemical_formula_sum 'Ba1 Ni1 Cl4'
_cell_length_a 6.068
_cell_length_b 6.068
_cell_length_c 6.068
_cell_angle_alpha 60.00
_cell_angle_beta 60.00
_cell_angle_gamma 60.00
_symmetry_space_group_name_H-M 'P 1'
_symmetry_Int_Tables_number 1
loop_
_symmetry_equiv_pos_as_xyz
'x,y,z'
loop_
_atom_site_label
_atom_site_type_symbol
_atom_site_fract_x
_atom_site_fract_y
_atom_site_fract_z
_atom_site_occupancy
Cl1 Cl 0.375 0.375 0.375 1
Cl2 Cl 0.375 0.874 0.375 1
Cl3 Cl 0.874 0.375 0.375 1
Cl4 Cl 0.375 0.375 0.874 1
Ni1 Ni 0.750 0.750 0.750 1
Ba1 Ba 0.000 0.000 0.000 1
# Energy above the lowest structure with this stoichiometry, meV/atom: 1301
# E_form (uncorrected), eV/atom: -0.185


Entry 5:
# BaNi3Cl, relaxed, DFT GGA-PBE
data_BaNi3Cl
_chemical_formula_sum 'Ba1 Ni3 Cl1'
_cell_length_a 5.079
_cell_length_b 5.079
_cell_length_c 5.079
_cell_angle_alpha 90.00
_cell_angle_beta 90.00
_cell_angle_gamma 90.00
_symmetry_space_group_name_H-M 'P 1'
_symmetry_Int_Tables_number 1
loop_
_symmetry_equiv_pos_as_xyz
'x,y,z'
loop_
_atom_site_label
_atom_site_type_symbol
_atom_site_fract_x
_atom_site_fract_y
_atom_site_fract_z
_atom_site_occupancy
Ba1 Ba 0.000 0.000 0.000 1
Ni1 Ni 0.000 0.000 0.500 1
Ni2 Ni 0.000 0.500 0.000 1
Ni3 Ni 0.500 0.000 0.000 1
Cl1 Cl 0.500 0.500 0.500 1
# Energy above the lowest structure with this stoichiometry, meV/atom: 1254
# E_form (uncorrected), eV/atom: 1.663


Entry 6:
# BaNiCl4, relaxed, DFT GGA-PBE
data_BaNiCl4
_chemical_formula_sum 'Ba1 Ni1 Cl4'
_cell_length_a 6.348
_cell_length_b 6.348
_cell_length_c 6.348
_cell_angle_alpha 112.06
_cell_angle_beta 112.06
_cell_angle_gamma 104.41
_symmetry_space_group_name_H-M 'P 1'
_symmetry_Int_Tables_number 1
loop_
_symmetry_equiv_pos_as_xyz
'x,y,z'
loop_
_atom_site_label
_atom_site_type_symbol
_atom_site_fract_x
_atom_site_fract_y
_atom_site_fract_z
_atom_site_occupancy
Ni1 Ni 0.500 0.500 0.000 1
Cl1 Cl 0.720 0.719 0.437 1
Cl2 Cl 0.282 0.283 0.563 1
Cl3 Cl 0.281 0.718 0.001 1
Cl4 Cl 0.717 0.280 0.999 1
Ba1 Ba 0.750 0.250 0.500 1
# Energy above the lowest structure with this stoichiometry, meV/atom: 0
# E_form (uncorrected), eV/atom: -1.486


Entry 7:
# Ba2NiCl, relaxed, DFT GGA-PBE
data_Ba2NiCl
_chemical_formula_sum 'Ba2 Ni1 Cl1'
_cell_length_a 6.555
_cell_length_b 6.555
_cell_length_c 5.020
_cell_angle_alpha 90.00
_cell_angle_beta 90.00
_cell_angle_gamma 36.40
_symmetry_space_group_name_H-M 'P 1'
_symmetry_Int_Tables_number 1
loop_
_symmetry_equiv_pos_as_xyz
'x,y,z'
loop_
_atom_site_label
_atom_site_type_symbol
_atom_site_fract_x
_atom_site_fract_y
_atom_site_fract_z
_atom_site_occupancy
Ba1 Ba 0.249 0.249 0.375 1
Ba2 Ba 0.991 0.991 0.875 1
Ni1 Ni 0.752 0.752 0.875 1
Cl1 Cl 0.508 0.508 0.375 1
# Energy above the lowest structure with this stoichiometry, meV/atom: 133
# E_form (uncorrected), eV/atom: -0.727


Entry 8:
# BaNiCl3, relaxed, DFT GGA-PBE
data_BaNiCl3
_chemical_formula_sum 'Ba1 Ni1 Cl3'
_cell_length_a 5.965
_cell_length_b 5.965
_cell_length_c 5.965
_cell_angle_alpha 90.00
_cell_angle_beta 90.00
_cell_angle_gamma 90.00
_symmetry_space_group_name_H-M 'P 1'
_symmetry_Int_Tables_number 1
loop_
_symmetry_equiv_pos_as_xyz
'x,y,z'
loop_
_atom_site_label
_atom_site_type_symbol
_atom_site_fract_x
_atom_site_fract_y
_atom_site_fract_z
_atom_site_occupancy
Cl1 Cl 0.000 0.500 0.000 1
Cl2 Cl 0.000 0.000 0.500 1
Cl3 Cl 0.500 0.000 0.000 1
Ni1 Ni 0.500 0.500 0.500 1
Ba1 Ba 0.000 0.000 0.000 1
# Energy above the lowest structure with this stoichiometry, meV/atom: 760
# E_form (uncorrected), eV/atom: -0.666